[1]
Below is Ac8HgOs2 after structural relaxation, with properties calculated at the PBE-GGA level.

## Properties
M_tot   0.00 μB/f.u.
Energy of formation   -0.016 eV/atom
Density of states at the Fermi level   1.27 states/eV per atom

Unit cell a=6.305 b=8.468 c=8.468 alpha=113.56 beta=97.56 gamma=97.56
Positions (direct):
Ac 0.998 0.249 0.763
Ac 0.414 0.669 0.933
Ac 0.998 0.763 0.249
Ac 0.581 0.342 0.077
Ac 0.785 0.615 0.615
Ac 0.581 0.077 0.342
Ac 0.414 0.933 0.669
Ac 0.202 0.385 0.385
Os 0.493 0.306 0.701
Os 0.493 0.701 0.306
Hg 0.040 0.996 0.996



[2]
Below is PrHo2In after structural relaxation, with properties calculated at the PBE-GGA level.

## Properties
M_tot   0.00 μB/f.u.
Energy of formation   -0.259 eV/atom
Density of states at the Fermi level   1.44 states/eV per atom

Unit cell a=4.853 b=4.916 c=4.916 alpha=90.00 beta=90.00 gamma=90.00
Positions (direct):
In 0.500 0.000 0.000
Ho 0.000 0.000 0.500
Ho 0.000 0.500 0.000
Pr 0.500 0.500 0.500



[3]
Below is CePm3Tm after structural relaxation, with properties calculated at the PBE-GGA level.

## Properties
M_tot   0.70 μB/f.u.
Energy of formation   0.057 eV/atom
Density of states at the Fermi level   1.97 states/eV per atom

Unit cell a=3.582 b=15.610 c=12.933 alpha=71.33 beta=73.90 gamma=76.69
Site moments in Bohr magnetons follow the coordinates.
Positions (direct):
Pm 0.526 0.400 0.825  -0.01
Pm 0.877 0.001 0.373  0.00
Pm 0.374 0.005 0.870  0.01
Pm 0.474 0.600 0.175  -0.01
Pm 0.925 0.799 0.025  -0.01
Pm 0.428 0.799 0.524  0.00
Pm 0.022 0.400 0.327  -0.01
Pm 0.075 0.201 0.975  -0.01
Pm 0.626 0.995 0.130  0.01
Pm 0.978 0.600 0.673  -0.01
Pm 0.123 0.999 0.627  0.00
Pm 0.572 0.201 0.476  0.00
Ce 0.726 0.599 0.425  0.55
Ce 0.274 0.401 0.575  0.55
Ce 0.178 0.792 0.281  0.61
Ce 0.822 0.208 0.719  0.61
Tm 0.774 0.400 0.075  -0.01
Tm 0.226 0.600 0.925  -0.01
Tm 0.675 0.797 0.778  -0.02
Tm 0.325 0.203 0.222  -0.02



[4]
Below is Hf2ReSi after structural relaxation, with properties calculated at the PBE-GGA level.

## Properties
M_tot   0.00 μB/f.u.
ΔE_f (raw)   0.368 eV per atom
Density of states at the Fermi level   0.95 states/eV per atom

Unit cell a=7.352 b=7.352 c=5.909 alpha=51.53 beta=51.53 gamma=90.00
Positions (direct):
Hf 0.118 0.625 0.250
Hf 0.632 0.125 0.250
Hf 0.875 0.882 0.750
Hf 0.375 0.368 0.750
Si 0.500 0.500 0.000
Si 0.250 0.750 0.500
Re 0.750 0.250 0.500
Re 0.000 0.000 0.000